{
  "formula": "N",
  "functional": "GGA-PBEsol",
  "state": "optimized geometry",
  "cell": [[4.0067, 0.0000, 0.0000], [0.0000, 4.0067, 0.0000], [0.0000, 0.0000, 5.5804]],
  "species": ["N", "N", "N", "N"],
  "fractional_positions": [[0.0981, 0.0981, 0.0000], [0.9019, 0.9019, 0.0000], [0.5981, 0.4019, 0.5000], [0.4019, 0.5981, 0.5000]],
  "e_form_raw_ev_per_atom": 0.00,
  "magmom_total_mub_per_fu": 0.0,
  "rho_g_cm3": 1.04
}

{
  "formula": "LiMn2InW",
  "functional": "GGA-PBEsol",
  "state": "optimized geometry",
  "cell": [[4.2018, 0.0000, 0.0000], [0.0000, 4.7550, 0.0000], [0.0000, 0.0000, 4.7550]],
  "species": ["W", "Li", "Mn", "Mn", "In"],
  "fractional_positions": [[0.5000, 0.5000, 0.5000], [0.5000, 0.0000, 0.0000], [0.0000, 0.5000, 0.0000], [0.0000, 0.0000, 0.5000], [0.0000, 0.0000, 0.0000]],
  "formation_enthalpy_0k_ev_per_atom": 1.834,
  "magmom_total_mub_per_fu": 4.7,
  "rho_g_cm3": 7.26
}